GGA-PBE AlAgAsO, relaxed; volume = 15.63 Å³ per atom; raw total energy = -0.355 Ry per atom; energy above the lowest structure with this stoichiometry = 0.145 eV per atom
1.0
3.6034 0.0000 0.0000
0.0000 3.6034 0.0000
0.0000 0.0000 9.6308
Al Ag As O
2 2 2 2
Direct
0.2500 0.2500 0.0827
0.7500 0.7500 0.9173
0.2500 0.7500 0.5000
0.7500 0.2500 0.5000
0.2500 0.2500 0.7211
0.7500 0.7500 0.2789
0.2500 0.7500 0.0000
0.7500 0.2500 0.0000


GGA-PBE AcHo, relaxed; volume = 41.47 Å³ per atom; raw total energy = -0.262 Ry per atom; E_form = 0.780 eV per atom; energy above the lowest structure with this stoichiometry = 0.671 eV per atom; magnetization = 0.5 μB/f.u.
1.0
0.0000 3.4614 3.4614
3.4614 0.0000 3.4614
3.4614 3.4614 0.0000
Ac Ho
1 1
Direct
0.0000 0.0000 0.0000
0.5000 0.5000 0.5000